1.
VASP calculation (PBE) on AlZn2W after structural relaxation.

POSCAR file:
```
AlZn2W
1.0
4.785 0.000 0.000
0.000 2.771 0.000
-1.790 0.000 4.559
Al Zn W
1 2 1
direct
0.000 0.000 0.000 Al
0.000 0.500 0.500 Zn
0.500 0.000 0.500 Zn
0.500 0.500 0.000 W
```

Computed properties:
Its crystal system is monoclinic. Its space-group type is P2/m (10). For the formation enthalpy at 0 K, the calculation gives 51 meV per atom.


2.
VASP calculation (PBE) on AlZn2W after structural relaxation.

POSCAR file:
```
AlZn2W
1.0
-1.841 1.841 4.383
1.841 -1.841 4.383
1.841 1.841 -4.383
Al Zn W
1 2 1
direct
0.000 0.000 0.000 Al
0.250 0.750 0.500 Zn
0.750 0.250 0.500 Zn
0.500 0.500 0.000 W
```

Computed properties:
Its crystal system is tetragonal. Its space-group type is I4/mmm (139). For the formation enthalpy at 0 K, the calculation gives 118 meV per atom.